1.
# CaOsI2, relaxed, DFT PBE
data_CaOsI2
_chemical_formula_sum 'Ca2 Os2 I4'
_cell_length_a 5.5497
_cell_length_b 5.5497
_cell_length_c 9.0241
_cell_angle_alpha 72.09
_cell_angle_beta 72.09
_cell_angle_gamma 90.00
_space_group_name_H-M_alt 'P 1'
_space_group_IT_number 1
loop_
_space_group_symop_operation_xyz
'x,y,z'
loop_
_atom_site_label
_atom_site_type_symbol
_atom_site_fract_x
_atom_site_fract_y
_atom_site_fract_z
Os1 Os 0.7500 0.2500 0.5000
Ca1 Ca 0.5000 0.5000 0.0000
I1 I 0.6839 0.1250 0.2500
Ca2 Ca 0.2500 0.7500 0.5000
Os2 Os 0.0000 0.0000 0.0000
I2 I 0.3750 0.3161 0.7500
I3 I 0.8750 0.9339 0.7500
I4 I 0.0661 0.6250 0.2500
# - SG = No. 122
# - formation energy (no corrections) (eV/atom) = 0.367

***

2.
# PmSi2Os2, relaxed, DFT PBE
data_PmSi2Os2
_chemical_formula_sum 'Pm1 Si2 Os2'
_cell_length_a 4.2028
_cell_length_b 4.2028
_cell_length_c 5.7369
_cell_angle_alpha 111.49
_cell_angle_beta 111.49
_cell_angle_gamma 90.00
_space_group_name_H-M_alt 'P 1'
_space_group_IT_number 1
loop_
_space_group_symop_operation_xyz
'x,y,z'
loop_
_atom_site_label
_atom_site_type_symbol
_atom_site_fract_x
_atom_site_fract_y
_atom_site_fract_z
Os1 Os 0.7500 0.2500 0.5000
Os2 Os 0.2500 0.7500 0.5000
Si1 Si 0.6310 0.6310 0.2619
Si2 Si 0.3690 0.3690 0.7381
Pm1 Pm 0.0000 0.0000 0.0000
# - SG = No. 139
# - formation energy (no corrections) (eV/atom) = -0.709

***

3.
# Cs2SrTeCl6, relaxed, DFT PBE
data_Cs2SrTeCl6
_chemical_formula_sum 'Cs2 Sr1 Te1 Cl6'
_cell_length_a 8.4540
_cell_length_b 8.4540
_cell_length_c 8.0945
_cell_angle_alpha 58.52
_cell_angle_beta 58.52
_cell_angle_gamma 90.00
_space_group_name_H-M_alt 'P 1'
_space_group_IT_number 1
loop_
_space_group_symop_operation_xyz
'x,y,z'
loop_
_atom_site_label
_atom_site_type_symbol
_atom_site_fract_x
_atom_site_fract_y
_atom_site_fract_z
Sr1 Sr 0.5000 0.5000 0.0000
Cl1 Cl 0.7372 0.7372 0.0000
Te1 Te 0.0000 0.0000 0.0000
Cl2 Cl 0.2628 0.7372 0.0000
Cs1 Cs 0.2500 0.7500 0.5000
Cs2 Cs 0.7500 0.2500 0.5000
Cl3 Cl 0.7666 0.7666 0.4667
Cl4 Cl 0.2628 0.2628 0.0000
Cl5 Cl 0.2334 0.2334 0.5333
Cl6 Cl 0.7372 0.2628 0.0000
# - SG = No. 139
# - formation energy (no corrections) (eV/atom) = -1.537

***

4.
# PrPuIn2, relaxed, DFT PBE
data_PrPuIn2
_chemical_formula_sum 'Pr1 Pu1 In2'
_cell_length_a 4.6455
_cell_length_b 4.9094
_cell_length_c 4.9094
_cell_angle_alpha 90.00
_cell_angle_beta 90.00
_cell_angle_gamma 90.00
_space_group_name_H-M_alt 'P 1'
_space_group_IT_number 1
loop_
_space_group_symop_operation_xyz
'x,y,z'
loop_
_atom_site_label
_atom_site_type_symbol
_atom_site_fract_x
_atom_site_fract_y
_atom_site_fract_z
Pu1 Pu 0.5000 0.5000 0.5000
In1 In 0.0000 0.0000 0.5000
Pr1 Pr 0.5000 0.0000 0.0000
In2 In 0.0000 0.5000 0.0000
# - SG = No. 123
# - energy relative to the elements (eV per atom) = -0.282

***

5.
# Ba5Sr7, relaxed, DFT PBE
data_Ba5Sr7
_chemical_formula_sum 'Ba5 Sr7'
_cell_length_a 6.8659
_cell_length_b 8.0523
_cell_length_c 14.5725
_cell_angle_alpha 107.56
_cell_angle_beta 90.00
_cell_angle_gamma 115.23
_space_group_name_H-M_alt 'P 1'
_space_group_IT_number 1
loop_
_space_group_symop_operation_xyz
'x,y,z'
loop_
_atom_site_label
_atom_site_type_symbol
_atom_site_fract_x
_atom_site_fract_y
_atom_site_fract_z
Sr1 Sr 0.5000 0.0000 0.5000
Ba1 Ba 0.1646 0.3291 0.4999
Sr2 Sr 0.5800 0.1599 0.2485
Sr3 Sr 0.6678 0.3357 0.0017
Ba2 Ba 0.2506 0.5012 0.2487
Sr4 Sr 0.4200 0.8401 0.7515
Ba3 Ba 0.0000 0.0000 0.0000
Ba4 Ba 0.7494 0.4988 0.7513
Ba5 Ba 0.8354 0.6709 0.5001
Sr5 Sr 0.9168 0.8336 0.2479
Sr6 Sr 0.0832 0.1664 0.7521
Sr7 Sr 0.3322 0.6643 0.9983
# - SG = No. 12
# - energy relative to the elements (eV per atom) = 0.004

***

6.
# BaGaSbTe2, relaxed, DFT PBE
data_BaGaSbTe2
_chemical_formula_sum 'Ba1 Ga1 Sb1 Te2'
_cell_length_a 5.7438
_cell_length_b 5.7438
_cell_length_c 5.1980
_cell_angle_alpha 90.00
_cell_angle_beta 90.00
_cell_angle_gamma 90.00
_space_group_name_H-M_alt 'P 1'
_space_group_IT_number 1
loop_
_space_group_symop_operation_xyz
'x,y,z'
loop_
_atom_site_label
_atom_site_type_symbol
_atom_site_fract_x
_atom_site_fract_y
_atom_site_fract_z
Sb1 Sb 0.0000 0.0000 0.5000
Ga1 Ga 0.0000 0.0000 0.0000
Te1 Te 0.0000 0.5000 0.0000
Ba1 Ba 0.5000 0.5000 0.5000
Te2 Te 0.5000 0.0000 0.0000
# - SG = No. 123
# - formation energy (no corrections) (eV/atom) = -0.437

***

7.
# ZrWS2, relaxed, DFT PBE
data_ZrWS2
_chemical_formula_sum 'Zr2 W2 S4'
_cell_length_a 4.7397
_cell_length_b 4.7397
_cell_length_c 7.8036
_cell_angle_alpha 72.32
_cell_angle_beta 72.32
_cell_angle_gamma 90.00
_space_group_name_H-M_alt 'P 1'
_space_group_IT_number 1
loop_
_space_group_symop_operation_xyz
'x,y,z'
loop_
_atom_site_label
_atom_site_type_symbol
_atom_site_fract_x
_atom_site_fract_y
_atom_site_fract_z
Zr1 Zr 0.5000 0.5000 0.0000
S1 S 0.8750 0.9127 0.7500
W1 W 0.0000 0.0000 0.0000
S2 S 0.3750 0.3373 0.7500
S3 S 0.0873 0.6250 0.2500
Zr2 Zr 0.2500 0.7500 0.5000
W2 W 0.7500 0.2500 0.5000
S4 S 0.6627 0.1250 0.2500
# - SG = No. 122
# - formation energy (no corrections) (eV/atom) = -0.350

***

8.
# Fe2ReHgBi, relaxed, DFT PBE
data_Fe2ReHgBi
_chemical_formula_sum 'Fe2 Re1 Hg1 Bi1'
_cell_length_a 4.6195
_cell_length_b 5.2747
_cell_length_c 4.6195
_cell_angle_alpha 90.00
_cell_angle_beta 90.00
_cell_angle_gamma 90.00
_space_group_name_H-M_alt 'P 1'
_space_group_IT_number 1
loop_
_space_group_symop_operation_xyz
'x,y,z'
loop_
_atom_site_label
_atom_site_type_symbol
_atom_site_fract_x
_atom_site_fract_y
_atom_site_fract_z
Fe1 Fe 0.5000 0.0000 0.0000
Re1 Re 0.0000 0.0000 0.0000
Bi1 Bi 0.5000 0.5000 0.5000
Fe2 Fe 0.0000 0.0000 0.5000
Hg1 Hg 0.0000 0.5000 0.0000
# - SG = No. 123
# - energy relative to the elements (eV per atom) = 1.255